CsBeTe2I: optimized geometry, PBE.

Unit cell a=5.066 b=5.066 c=6.991 alpha=90.00 beta=90.00 gamma=90.00
Element x y z (fractional)
I 0.000 0.000 0.500
Te 0.000 0.500 0.000
Te 0.500 0.000 0.000
Cs 0.500 0.500 0.500
Be 0.000 0.000 0.000

Computed properties:
Calculated volume = 179 Å³/f.u.
Density of states at the Fermi level = 5.786 states/eV/cell
Crystal system = tetragonal
E_form (uncorrected) = -0.270 eV/atom
VASP energy = -13.76 eV for the cell shown

***

CsBeTlI4: optimized geometry, PBE.

Unit cell a=7.522 b=8.143 c=10.679 alpha=90.00 beta=110.15 gamma=90.00
Element x y z (fractional)
I 0.633 0.250 0.465
I 0.367 0.750 0.535
I 0.017 0.492 0.754
I 0.983 0.992 0.246
I 0.390 0.750 0.164
I 0.983 0.508 0.246
I 0.017 0.008 0.754
I 0.610 0.250 0.836
Be 0.816 0.250 0.702
Be 0.184 0.750 0.298
Tl 0.789 0.750 0.462
Tl 0.211 0.250 0.538
Cs 0.302 0.250 0.088
Cs 0.698 0.750 0.912

Computed properties:
Calculated volume = 307 Å³/f.u.
Density of states at the Fermi level = 0.000 states/eV/cell
Crystal system = monoclinic
E_form (uncorrected) = -0.898 eV/atom
VASP energy = -38.86 eV for the cell shown

***

Cs2BeTlI6: optimized geometry, PBE.

Unit cell a=8.415 b=8.415 c=8.405 alpha=59.96 beta=59.96 gamma=90.00
Element x y z (fractional)
Be 0.500 0.500 0.000
I 0.270 0.730 0.000
I 0.730 0.730 0.000
I 0.270 0.270 0.000
I 0.730 0.270 0.000
I 0.729 0.729 0.543
I 0.271 0.271 0.457
Cs 0.750 0.250 0.500
Cs 0.250 0.750 0.500
Tl 0.000 0.000 0.000

Computed properties:
Calculated volume = 420 Å³/f.u.
Density of states at the Fermi level = 4.393 states/eV/cell
Crystal system = tetragonal
E_form (uncorrected) = -0.774 eV/atom
VASP energy = -24.84 eV for the cell shown

***

Cs2BeVI6: optimized geometry, PBE.

Unit cell a=8.841 b=8.841 c=8.229 alpha=57.51 beta=57.51 gamma=90.00
Each line ends with the local moment (μB).
Element x y z (fractional)
Cs 0.750 0.250 0.500  0.00
Cs 0.250 0.750 0.500  0.00
I 0.709 0.709 0.582  -0.01
I 0.291 0.291 0.418  -0.01
I 0.225 0.775 0.000  -0.01
I 0.775 0.225 0.000  -0.01
I 0.225 0.225 0.000  -0.01
I 0.775 0.775 0.000  -0.01
V 0.000 0.000 0.000  2.60
Be 0.500 0.500 0.000  0.00

Computed properties:
Calculated volume = 418 Å³/f.u.
Density of states at the Fermi level = 0.133 states/eV/cell
Crystal system = tetragonal
E_form (uncorrected) = -0.743 eV/atom
VASP energy = -31.28 eV for the cell shown

***

CsBe2VI8: optimized geometry, PBE.

Unit cell a=6.993 b=6.993 c=11.986 alpha=73.04 beta=73.04 gamma=60.00
Each line ends with the local moment (μB).
Element x y z (fractional)
Be 0.736 0.736 0.792  0.01
Be 0.264 0.264 0.208  0.01
I 0.274 0.956 0.144  -0.04
I 0.626 0.274 0.144  -0.04
I 0.806 0.806 0.582  -0.01
I 0.374 0.726 0.856  -0.04
I 0.044 0.374 0.856  -0.04
I 0.726 0.044 0.856  -0.04
I 0.956 0.626 0.144  -0.04
I 0.194 0.194 0.418  -0.01
Cs 0.500 0.500 0.500  0.00
V 0.000 0.000 0.000  2.02

Computed properties:
Calculated volume = 478 Å³/f.u.
Density of states at the Fermi level = 7.132 states/eV/cell
Crystal system = trigonal
E_form (uncorrected) = -0.640 eV/atom
VASP energy = -37.50 eV for the cell shown

***

Cs2BeWI6: optimized geometry, PBE.

Unit cell a=8.917 b=8.917 c=8.473 alpha=58.25 beta=58.25 gamma=90.00
Each line ends with the local moment (μB).
Element x y z (fractional)
W 0.000 0.000 0.000  2.75
Cs 0.750 0.250 0.500  0.00
Cs 0.250 0.750 0.500  0.00
I 0.779 0.221 0.000  0.01
I 0.779 0.779 0.000  0.01
I 0.697 0.697 0.606  0.01
I 0.221 0.221 0.000  0.01
I 0.221 0.779 0.000  0.01
I 0.303 0.303 0.394  0.01
Be 0.500 0.500 0.000  0.06

Computed properties:
Calculated volume = 450 Å³/f.u.
Density of states at the Fermi level = 0.000 states/eV/cell
Crystal system = tetragonal
E_form (uncorrected) = -0.463 eV/atom
VASP energy = -32.32 eV for the cell shown

***

Cs2YBeI6: optimized geometry, PBE.

Unit cell a=8.444 b=8.444 c=8.458 alpha=60.05 beta=60.05 gamma=90.00
Each line ends with the local moment (μB).
Element x y z (fractional)
I 0.256 0.256 0.000  0.01
I 0.744 0.256 0.000  0.01
I 0.744 0.744 0.000  0.01
I 0.256 0.744 0.000  0.01
I 0.745 0.745 0.510  0.01
I 0.255 0.255 0.490  0.01
Cs 0.250 0.750 0.500  0.00
Cs 0.750 0.250 0.500  0.00
Y 0.000 0.000 0.000  0.15
Be 0.500 0.500 0.000  0.27

Computed properties:
Calculated volume = 427 Å³/f.u.
Density of states at the Fermi level = 0.310 states/eV/cell
Crystal system = tetragonal
E_form (uncorrected) = -1.019 eV/atom
VASP energy = -31.39 eV for the cell shown

***

Cs2ZrBeI6: optimized geometry, PBE.

Unit cell a=8.233 b=8.233 c=8.290 alpha=60.23 beta=60.23 gamma=90.00
Each line ends with the local moment (μB).
Element x y z (fractional)
Zr 0.000 0.000 0.000  0.96
Cs 0.250 0.750 0.500  0.00
Cs 0.750 0.250 0.500  0.00
I 0.256 0.744 0.000  0.00
I 0.744 0.744 0.000  0.01
I 0.256 0.256 0.000  0.01
I 0.251 0.251 0.498  0.00
I 0.744 0.256 0.000  0.00
I 0.749 0.749 0.502  0.00
Be 0.500 0.500 0.000  0.22

Computed properties:
Calculated volume = 400 Å³/f.u.
Density of states at the Fermi level = 7.899 states/eV/cell
Crystal system = tetragonal
E_form (uncorrected) = -0.783 eV/atom
VASP energy = -31.11 eV for the cell shown